First-principles (PBEsol) data for crystalline C2Se at its relaxed geometry, as listed in Alexandria via LeMat-Bulk.

Values from the calculation:
Total energy in eV/atom: -5.7820
Formation energy (no corrections) in kJ/mol of formula units: 559
Spin magnetization in μB per formula unit: 0.00
Energy relative to the lowest polymorph listed for this composition in meV per atom: 1670.8

abc: 5.000 5.000 5.000
angles: 151.05 151.05 41.41
Atoms (fractional coordinates):
C 0.236 0.236 0.000
C 0.764 0.764 0.000
Se 0.000 0.000 0.000


First-principles (PBEsol) data for crystalline CSe3 at its relaxed geometry, as listed in Alexandria via LeMat-Bulk.

Values from the calculation:
Total energy in eV/atom: -4.1640
Formation energy (no corrections) in kJ/mol of formula units: 438
Spin magnetization in μB per formula unit: 0.00
Energy relative to the lowest polymorph listed for this composition in meV per atom: 90.3

abc: 5.527 5.527 5.527
angles: 150.61 102.95 84.52
Atoms (fractional coordinates):
C 0.000 0.000 0.000
Se 0.178 0.678 0.500
Se 0.500 0.500 0.000
Se 0.822 0.322 0.500


First-principles (PBEsol) data for crystalline CSe at its relaxed geometry, as listed in Alexandria via LeMat-Bulk.

Values from the calculation:
Total energy in eV/atom: -4.6549
Formation energy (no corrections) in kJ/mol of formula units: 404
Spin magnetization in μB per formula unit: 0.00
Energy relative to the lowest polymorph listed for this composition in meV per atom: 126.8

abc: 4.461 4.473 5.019
angles: 90.00 90.00 90.00
Atoms (fractional coordinates):
C 0.250 0.250 0.042
C 0.750 0.750 0.958
Se 0.250 0.250 0.379
Se 0.750 0.750 0.621


First-principles (PBEsol) data for crystalline CSe3 at its relaxed geometry, as listed in Alexandria via LeMat-Bulk.

Values from the calculation:
Total energy in eV/atom: -4.2543
Formation energy (no corrections) in kJ/mol of formula units: 403
Spin magnetization in μB per formula unit: 0.00
Energy relative to the lowest polymorph listed for this composition in meV per atom: 0.0

abc: 4.047 4.047 7.045
angles: 98.76 98.76 40.60
Atoms (fractional coordinates):
C 0.000 0.000 0.000
Se 0.360 0.360 0.820
Se 0.500 0.500 0.500
Se 0.640 0.640 0.180


First-principles (PBEsol) data for crystalline C2Se at its relaxed geometry, as listed in Alexandria via LeMat-Bulk.

Values from the calculation:
Total energy in eV/atom: -4.3280
Formation energy (no corrections) in kJ/mol of formula units: 980
Spin magnetization in μB per formula unit: 0.00
Energy relative to the lowest polymorph listed for this composition in meV per atom: 3124.9

abc: 4.481 4.481 4.481
angles: 60.00 60.00 60.00
Atoms (fractional coordinates):
C 0.000 0.000 0.000
C 0.000 0.000 0.500
C 0.000 0.500 0.000
C 0.500 0.000 0.000
Se 0.375 0.375 0.375
Se 0.625 0.625 0.625


First-principles (PBEsol) data for crystalline C2Se at its relaxed geometry, as listed in Alexandria via LeMat-Bulk.

Values from the calculation:
Total energy in eV/atom: -7.4528
Formation energy (no corrections) in kJ/mol of formula units: 75
Spin magnetization in μB per formula unit: 0.00
Energy relative to the lowest polymorph listed for this composition in meV per atom: 0.0

abc: 4.132 4.132 9.812
angles: 106.21 106.21 35.48
Atoms (fractional coordinates):
C 0.015 0.015 0.076
C 0.471 0.471 0.853
C 0.529 0.529 0.147
C 0.985 0.985 0.924
Se 0.430 0.430 0.654
Se 0.570 0.570 0.346


First-principles (PBEsol) data for crystalline CSe3 at its relaxed geometry, as listed in Alexandria via LeMat-Bulk.

Values from the calculation:
Total energy in eV/atom: -3.9328
Formation energy (no corrections) in kJ/mol of formula units: 527
Spin magnetization in μB per formula unit: 0.00
Energy relative to the lowest polymorph listed for this composition in meV per atom: 321.5

abc: 4.363 4.363 4.363
angles: 90.00 90.00 90.00
Atoms (fractional coordinates):
C 0.000 0.000 0.000
Se 0.000 0.000 0.500
Se 0.000 0.500 0.000
Se 0.500 0.000 0.000


First-principles (PBEsol) data for crystalline CSe3 at its relaxed geometry, as listed in Alexandria via LeMat-Bulk.

Values from the calculation:
Total energy in eV/atom: -4.1478
Formation energy (no corrections) in kJ/mol of formula units: 444
Spin magnetization in μB per formula unit: 0.00
Energy relative to the lowest polymorph listed for this composition in meV per atom: 106.5

abc: 3.836 3.836 7.163
angles: 90.00 90.00 132.76
Atoms (fractional coordinates):
C 0.000 0.000 0.000
Se 0.000 0.000 0.500
Se 0.500 0.500 0.200
Se 0.500 0.500 0.800


First-principles (PBEsol) data for crystalline SiC3Se at its relaxed geometry, as listed in Alexandria via LeMat-Bulk.

Values from the calculation:
Total energy in eV/atom: -4.8655
Formation energy (no corrections) in kJ/mol of formula units: 1370
Spin magnetization in μB per formula unit: 0.00

abc: 3.845 3.845 3.845
angles: 90.00 90.00 90.00
Atoms (fractional coordinates):
Si 0.000 0.000 0.000
C 0.000 0.500 0.500
C 0.500 0.000 0.500
C 0.500 0.500 0.000
Se 0.500 0.500 0.500


First-principles (PBEsol) data for crystalline SiCSe2 at its relaxed geometry, as listed in Alexandria via LeMat-Bulk.

Values from the calculation:
Total energy in eV/atom: -4.6741
Formation energy (no corrections) in kJ/mol of formula units: 424
Spin magnetization in μB per formula unit: 0.00

abc: 5.695 5.695 5.695
angles: 115.03 115.03 98.84
Atoms (fractional coordinates):
Si 0.000 0.000 0.000
Si 0.750 0.250 0.500
C 0.250 0.750 0.500
C 0.500 0.500 0.000
Se 0.176 0.125 0.551
Se 0.375 0.824 0.949
Se 0.574 0.625 0.449
Se 0.875 0.426 0.051


First-principles (PBEsol) data for crystalline SnCSe2 at its relaxed geometry, as listed in Alexandria via LeMat-Bulk.

Values from the calculation:
Total energy in eV/atom: -4.4224
Formation energy (no corrections) in kJ/mol of formula units: 378
Spin magnetization in μB per formula unit: 0.00
Energy relative to the lowest polymorph listed for this composition in meV per atom: 184.7

abc: 8.679 8.679 8.679
angles: 21.29 21.29 21.29
Atoms (fractional coordinates):
Sn 0.000 0.000 0.000
C 0.500 0.500 0.500
Se 0.114 0.114 0.114
Se 0.886 0.886 0.886


First-principles (PBEsol) data for crystalline SnCSe2 at its relaxed geometry, as listed in Alexandria via LeMat-Bulk.

Values from the calculation:
Total energy in eV/atom: -4.5450
Formation energy (no corrections) in kJ/mol of formula units: 330
Spin magnetization in μB per formula unit: 0.00
Energy relative to the lowest polymorph listed for this composition in meV per atom: 62.1

abc: 6.113 6.113 6.113
angles: 116.55 116.55 96.10
Atoms (fractional coordinates):
Sn 0.000 0.000 0.000
Sn 0.750 0.250 0.500
C 0.250 0.750 0.500
C 0.500 0.500 0.000
Se 0.233 0.625 0.108
Se 0.375 0.483 0.608
Se 0.517 0.125 0.892
Se 0.875 0.767 0.392


First-principles (PBEsol) data for crystalline SnCSe2 at its relaxed geometry, as listed in Alexandria via LeMat-Bulk.

Values from the calculation:
Total energy in eV/atom: -4.6071
Formation energy (no corrections) in kJ/mol of formula units: 306
Spin magnetization in μB per formula unit: 0.00
Energy relative to the lowest polymorph listed for this composition in meV per atom: 0.0

abc: 8.203 8.203 8.203
angles: 26.20 26.20 26.20
Atoms (fractional coordinates):
Sn 0.000 0.000 0.000
C 0.500 0.500 0.500
Se 0.427 0.427 0.427
Se 0.573 0.573 0.573


First-principles (PBEsol) data for crystalline Sr2CSe at its relaxed geometry, as listed in Alexandria via LeMat-Bulk.

Values from the calculation:
Total energy in eV/atom: -4.3380
Formation energy (no corrections) in kJ/mol of formula units: -17
Spin magnetization in μB per formula unit: 2.00

abc: 5.068 5.068 5.068
angles: 60.00 60.00 60.00
Atoms (fractional coordinates):
Sr 0.250 0.250 0.250
Sr 0.750 0.750 0.750
C 0.000 0.000 0.000
Se 0.500 0.500 0.500


First-principles (PBEsol) data for crystalline Ta2TeCSe at its relaxed geometry, as listed in Alexandria via LeMat-Bulk.

Values from the calculation:
Total energy in eV/atom: -7.0730
Formation energy (no corrections) in kJ/mol of formula units: 652
Spin magnetization in μB per formula unit: 0.00

abc: 4.871 4.871 3.779
angles: 90.00 90.00 90.00
Atoms (fractional coordinates):
Ta 0.000 0.500 0.000
Ta 0.500 0.000 0.000
Te 0.000 0.000 0.500
C 0.500 0.500 0.500
Se 0.500 0.500 0.000


First-principles (PBEsol) data for crystalline TaTlC2Se at its relaxed geometry, as listed in Alexandria via LeMat-Bulk.

Values from the calculation:
Total energy in eV/atom: -4.8123
Formation energy (no corrections) in kJ/mol of formula units: 1376
Spin magnetization in μB per formula unit: 0.60

abc: 4.135 4.135 5.433
angles: 90.00 90.00 90.00
Atoms (fractional coordinates):
Ta 0.000 0.000 0.000
Tl 0.500 0.500 0.500
C 0.000 0.500 0.500
C 0.500 0.000 0.500
Se 0.500 0.500 0.000


First-principles (PBEsol) data for crystalline Te2CSe at its relaxed geometry, as listed in Alexandria via LeMat-Bulk.

Values from the calculation:
Total energy in eV/atom: -4.0356
Formation energy (no corrections) in kJ/mol of formula units: 425
Spin magnetization in μB per formula unit: 0.00

abc: 8.220 8.220 8.220
angles: 28.61 28.61 28.61
Atoms (fractional coordinates):
Te 0.083 0.083 0.083
Te 0.917 0.917 0.917
C 0.000 0.000 0.000
Se 0.500 0.500 0.500


First-principles (PBEsol) data for crystalline TiCSe3 at its relaxed geometry, as listed in Alexandria via LeMat-Bulk.

Values from the calculation:
Total energy in eV/atom: -5.2564
Formation energy (no corrections) in kJ/mol of formula units: 312
Spin magnetization in μB per formula unit: 0.75

abc: 4.308 4.308 4.308
angles: 90.00 90.00 90.00
Atoms (fractional coordinates):
Ti 0.000 0.000 0.000
C 0.500 0.500 0.500
Se 0.000 0.500 0.500
Se 0.500 0.000 0.500
Se 0.500 0.500 0.000


First-principles (PBEsol) data for crystalline Tl3CSe at its relaxed geometry, as listed in Alexandria via LeMat-Bulk.

Values from the calculation:
Total energy in eV/atom: -3.5836
Formation energy (no corrections) in kJ/mol of formula units: 334
Spin magnetization in μB per formula unit: 0.00
Energy relative to the lowest polymorph listed for this composition in meV per atom: 0.0

abc: 4.890 4.890 4.890
angles: 90.00 90.00 90.00
Atoms (fractional coordinates):
Tl 0.000 0.000 0.500
Tl 0.000 0.500 0.000
Tl 0.500 0.000 0.000
C 0.000 0.000 0.000
Se 0.500 0.500 0.500


First-principles (PBEsol) data for crystalline Tl3CSe at its relaxed geometry, as listed in Alexandria via LeMat-Bulk.

Values from the calculation:
Total energy in eV/atom: -2.6930
Formation energy (no corrections) in kJ/mol of formula units: 764
Spin magnetization in μB per formula unit: 2.84
Energy relative to the lowest polymorph listed for this composition in meV per atom: 890.6

abc: 6.016 6.016 6.016
angles: 90.00 90.00 90.00
Atoms (fractional coordinates):
Tl 0.000 0.000 0.500
Tl 0.000 0.500 0.000
Tl 0.500 0.000 0.000
C 0.500 0.500 0.500
Se 0.000 0.000 0.000